[1]
KGdNiTe3: relaxed, GGA-PBE.

Summary:
Calculated volume in Å³ per atom: 33.5

```
data_KGdNiTe3
_chemical_formula_sum 'K2 Gd2 Ni2 Te6'
_space_group_name_H-M_alt 'P 1 21/m 1'
_space_group_IT_number 11
_cell_length_a 9.692
_cell_length_b 4.296
_cell_length_c 10.264
_cell_angle_alpha 90.00
_cell_angle_beta 109.75
_cell_angle_gamma 90.00
loop_
_space_group_symop_operation_xyz
'x,y,z'
'-x,-y,-z'
'-x,y+1/2,-z'
'x,-y+1/2,z'
loop_
_atom_site_label
_atom_site_type_symbol
_atom_site_fract_x
_atom_site_fract_y
_atom_site_fract_z
_atom_site_occupancy
K1 K 0.216 0.250 0.255 1
Gd1 Gd 0.320 0.750 0.859 1
Ni1 Ni 0.096 0.250 0.616 1
Te1 Te 0.093 0.250 0.863 1
Te2 Te 0.173 0.750 0.531 1
Te3 Te 0.463 0.750 0.176 1
```


[2]
LaMgAlNi: relaxed, GGA-PBE.

Summary:
Calculated volume in Å³ per atom: 20.4

```
data_LaMgAlNi
_chemical_formula_sum 'La4 Mg4 Al4 Ni4'
_space_group_name_H-M_alt 'C m c 21'
_space_group_IT_number 36
_cell_length_a 4.341
_cell_length_b 9.877
_cell_length_c 7.617
_cell_angle_alpha 90.00
_cell_angle_beta 90.00
_cell_angle_gamma 90.00
loop_
_space_group_symop_operation_xyz
'x,y,z'
'-x,-y,z+1/2'
'-x,y,z'
'x,-y,z+1/2'
'x+1/2,y+1/2,z'
'-x+1/2,-y+1/2,z+1/2'
'-x+1/2,y+1/2,z'
'x+1/2,-y+1/2,z+1/2'
loop_
_atom_site_label
_atom_site_type_symbol
_atom_site_fract_x
_atom_site_fract_y
_atom_site_fract_z
_atom_site_occupancy
La1 La 0.000 0.054 0.000 1
Mg1 Mg 0.000 0.344 0.812 1
Al1 Al 0.000 0.339 0.202 1
Ni1 Ni 0.000 0.219 0.508 1
```


Relative energy among the computed polymorphs / meV/atom: 0.0, 0.0